1.
Compound: La2TlBPd6
Source: Alexandria
Functional: PBE-GGA
Structure: relaxed

Structure (POSCAR):
```
La2TlBPd6
1.0
5.862 0.000 0.000
0.000 7.724 0.000
0.000 0.000 8.871
La Tl B Pd
4 2 2 12
Direct
0.500 0.730 0.274
0.000 0.270 0.774
0.500 0.730 0.726
0.000 0.270 0.226
0.000 0.661 0.500
0.500 0.339 0.000
0.500 0.168 0.500
0.000 0.832 0.000
0.500 0.137 0.262
0.500 0.137 0.738
0.000 0.863 0.238
0.000 0.863 0.762
0.237 0.984 0.500
0.763 0.984 0.500
0.262 0.371 0.500
0.738 0.371 0.500
0.762 0.629 0.000
0.238 0.629 0.000
0.263 0.016 0.000
0.737 0.016 0.000
```

Properties
- Volume: 401.7 Å³/cell
- Energy relative to the elements: -0.618 eV/atom


2.
Compound: AgGe2W
Source: Alexandria
Functional: PBE-GGA
Structure: relaxed

Structure (POSCAR):
```
AgGe2W
1.0
-1.817 1.322 -5.816
-5.895 -1.324 1.540
-4.576 4.716 -0.840
Ge Ag W
4 2 2
Direct
0.645 0.125 0.250
0.105 0.625 0.250
0.375 0.355 0.750
0.875 0.895 0.750
0.500 0.500 0.000
0.250 0.750 0.500
0.000 0.000 0.000
0.750 0.250 0.500
```

Properties
- Volume: 192.3 Å³/cell
- Energy relative to the elements: 0.954 eV/atom